Here is crystalline TlSbPd2 at its relaxed geometry from the Alexandria database. Energies are from PBE. Values from VASP.

```
&SYSTEM
  ibrav = 0, nat = 32, ntyp = 3
/
ATOMIC_SPECIES
Tl 204.38 Tl.upf
Sb 121.76 Sb.upf
Pd 106.42 Pd.upf
ATOMIC_POSITIONS crystal
Tl 0.250 0.190 0.098
Tl 0.250 0.310 0.598
Tl 0.250 0.690 0.098
Tl 0.250 0.810 0.598
Tl 0.750 0.190 0.402
Tl 0.750 0.310 0.902
Tl 0.750 0.690 0.402
Tl 0.750 0.810 0.902
Sb 0.246 0.062 0.577
Sb 0.246 0.438 0.077
Sb 0.254 0.562 0.577
Sb 0.254 0.938 0.077
Sb 0.746 0.062 0.923
Sb 0.746 0.438 0.423
Sb 0.754 0.562 0.923
Sb 0.754 0.938 0.423
Pd 0.000 0.055 0.246
Pd 0.000 0.445 0.746
Pd 0.000 0.555 0.254
Pd 0.000 0.945 0.754
Pd 0.002 0.677 0.749
Pd 0.002 0.823 0.249
Pd 0.498 0.177 0.749
Pd 0.498 0.323 0.249
Pd 0.500 0.055 0.254
Pd 0.500 0.445 0.754
Pd 0.500 0.555 0.246
Pd 0.500 0.945 0.746
Pd 0.502 0.677 0.751
Pd 0.502 0.823 0.251
Pd 0.998 0.177 0.751
Pd 0.998 0.323 0.251
CELL_PARAMETERS angstrom
5.692 0.000 0.000
0.000 16.941 0.000
0.000 0.000 7.148
```

Uncorrected formation energy, eV/atom: -0.327
Offset from the most stable computed form, eV/f.u.: 0.00
Raw total energy, eV per atom: -4.5451
SG: Pbca, No. 61